# Zr2TaAg (PBE, relaxed)
data_Zr2TaAg
_chemical_formula_sum 'Zr2 Ta1 Ag1'
_space_group_name_H-M_alt 'P 1'
_space_group_IT_number 1
_space_group_name_Hall 'P 1'
_cell_length_a 5.3056
_cell_length_b 5.3056
_cell_length_c 5.3056
_cell_angle_alpha 131.88
_cell_angle_beta 131.88
_cell_angle_gamma 70.42
loop_
_atom_site_label
_atom_site_fract_x
_atom_site_fract_y
_atom_site_fract_z
Ag1 0.2500 0.7500 0.5000
Ta1 0.7500 0.2500 0.5000
Zr1 0.0000 0.0000 0.0000
Zr2 0.5000 0.5000 0.0000
# **Final energy**: -31.19 eV per formula unit
# **Symmetry**: No. 139
# **Fermi-level density of states**: 0.87 states/eV/atom
# **Spin magnetization**: 0.00 μB/cell
# **Energy relative to the lowest polymorph listed for this composition**: 0.151 eV per atom